w) # CsHgAs3, optimized geometry, DFT PBE
# Spin magnetization ... 0.000 μB/f.u.
data_CsHgAs3
_cell_length_a 5.869
_cell_length_b 5.869
_cell_length_c 5.869
_cell_angle_alpha 90.00
_cell_angle_beta 90.00
_cell_angle_gamma 90.00
_symmetry_space_group_name_H-M 'P 1'
_symmetry_Int_Tables_number 1
loop_
_symmetry_equiv_pos_as_xyz
'x,y,z'
loop_
_atom_site_label
_atom_site_type_symbol
_atom_site_fract_x
_atom_site_fract_y
_atom_site_fract_z
Cs1 Cs 0.000 0.000 0.000
Hg1 Hg 0.500 0.500 0.500
As1 As 0.000 0.000 0.500
As2 As 0.000 0.500 0.000
As3 As 0.500 0.000 0.000


x) # CsHgAs3, optimized geometry, DFT PBE
# Spin magnetization ... 0.000 μB/f.u.
data_CsHgAs3
_cell_length_a 5.424
_cell_length_b 5.424
_cell_length_c 5.424
_cell_angle_alpha 90.00
_cell_angle_beta 90.00
_cell_angle_gamma 90.00
_symmetry_space_group_name_H-M 'P 1'
_symmetry_Int_Tables_number 1
loop_
_symmetry_equiv_pos_as_xyz
'x,y,z'
loop_
_atom_site_label
_atom_site_type_symbol
_atom_site_fract_x
_atom_site_fract_y
_atom_site_fract_z
Cs1 Cs 0.000 0.000 0.000
Hg1 Hg 0.500 0.500 0.500
As1 As 0.000 0.500 0.500
As2 As 0.500 0.000 0.500
As3 As 0.500 0.500 0.000


x) ends up most stable, edging out the next structure by 108.3 kJ/mol of atoms.


w) # CsRbHgAs, optimized geometry, DFT PBE
# Spin magnetization ... 0.002 μB/f.u.
data_CsRbHgAs
_cell_length_a 4.740
_cell_length_b 7.025
_cell_length_c 7.025
_cell_angle_alpha 46.90
_cell_angle_beta 90.00
_cell_angle_gamma 90.00
_symmetry_space_group_name_H-M 'P 1'
_symmetry_Int_Tables_number 1
loop_
_symmetry_equiv_pos_as_xyz
'x,y,z'
loop_
_atom_site_label
_atom_site_type_symbol
_atom_site_fract_x
_atom_site_fract_y
_atom_site_fract_z
Cs1 Cs 0.000 0.000 0.000
Rb1 Rb 0.500 0.292 0.292
Hg1 Hg 0.500 0.604 0.604
As1 As 0.000 0.709 0.709


x) # CsRbHgAs, optimized geometry, DFT PBE
# Spin magnetization ... 1.009 μB/f.u.
data_CsRbHgAs
_cell_length_a 6.141
_cell_length_b 6.141
_cell_length_c 6.141
_cell_angle_alpha 60.00
_cell_angle_beta 60.00
_cell_angle_gamma 60.00
_symmetry_space_group_name_H-M 'P 1'
_symmetry_Int_Tables_number 1
loop_
_symmetry_equiv_pos_as_xyz
'x,y,z'
loop_
_atom_site_label
_atom_site_type_symbol
_atom_site_fract_x
_atom_site_fract_y
_atom_site_fract_z
Cs1 Cs 0.000 0.000 0.000
Rb1 Rb 0.500 0.500 0.500
Hg1 Hg 0.750 0.750 0.750
As1 As 0.250 0.250 0.250


w) ends up most stable, edging out the next structure by 12.8 kJ/mol of atoms.


w) # CsHgAs2Se, optimized geometry, DFT PBE
# Spin magnetization ... 1.404 μB/f.u.
data_CsHgAs2Se
_cell_length_a 5.368
_cell_length_b 5.368
_cell_length_c 5.681
_cell_angle_alpha 90.00
_cell_angle_beta 90.00
_cell_angle_gamma 90.00
_symmetry_space_group_name_H-M 'P 1'
_symmetry_Int_Tables_number 1
loop_
_symmetry_equiv_pos_as_xyz
'x,y,z'
loop_
_atom_site_label
_atom_site_type_symbol
_atom_site_fract_x
_atom_site_fract_y
_atom_site_fract_z
Cs1 Cs 0.000 0.000 0.000
Hg1 Hg 0.500 0.500 0.500
As1 As 0.000 0.500 0.500
As2 As 0.500 0.000 0.500
Se1 Se 0.500 0.500 0.000


x) # CsHgAs2Se, optimized geometry, DFT PBE
# Spin magnetization ... 4.520 μB/f.u.
data_CsHgAs2Se
_cell_length_a 7.153
_cell_length_b 7.153
_cell_length_c 6.703
_cell_angle_alpha 90.00
_cell_angle_beta 90.00
_cell_angle_gamma 90.00
_symmetry_space_group_name_H-M 'P 1'
_symmetry_Int_Tables_number 1
loop_
_symmetry_equiv_pos_as_xyz
'x,y,z'
loop_
_atom_site_label
_atom_site_type_symbol
_atom_site_fract_x
_atom_site_fract_y
_atom_site_fract_z
Cs1 Cs 0.000 0.000 0.000
Hg1 Hg 0.500 0.500 0.500
As1 As 0.000 0.500 0.000
As2 As 0.500 0.000 0.000
Se1 Se 0.000 0.000 0.500


w) ends up most stable, edging out the next structure by 81.4 kJ/mol of atoms.


w) # CsTcSnHgAs, optimized geometry, DFT PBE
# Spin magnetization ... 0.000 μB/f.u.
data_CsTcSnHgAs
_cell_length_a 11.416
_cell_length_b 11.416
_cell_length_c 11.416
_cell_angle_alpha 162.65
_cell_angle_beta 162.65
_cell_angle_gamma 24.64
_symmetry_space_group_name_H-M 'P 1'
_symmetry_Int_Tables_number 1
loop_
_symmetry_equiv_pos_as_xyz
'x,y,z'
loop_
_atom_site_label
_atom_site_type_symbol
_atom_site_fract_x
_atom_site_fract_y
_atom_site_fract_z
Cs1 Cs 0.000 0.000 0.000
Tc1 Tc 0.640 0.640 0.000
Sn1 Sn 0.767 0.767 0.000
Hg1 Hg 0.371 0.371 0.000
As1 As 0.167 0.167 0.000


x) # CsTcSnHgAs, optimized geometry, DFT PBE
# Spin magnetization ... 0.000 μB/f.u.
data_CsTcSnHgAs
_cell_length_a 3.286
_cell_length_b 3.294
_cell_length_c 11.828
_cell_angle_alpha 82.14
_cell_angle_beta 89.83
_cell_angle_gamma 90.00
_symmetry_space_group_name_H-M 'P 1'
_symmetry_Int_Tables_number 1
loop_
_symmetry_equiv_pos_as_xyz
'x,y,z'
loop_
_atom_site_label
_atom_site_type_symbol
_atom_site_fract_x
_atom_site_fract_y
_atom_site_fract_z
Cs1 Cs 0.000 0.000 0.000
Tc1 Tc 0.996 0.831 0.340
Sn1 Sn 0.493 0.253 0.502
Hg1 Hg 0.502 0.625 0.741
As1 As 0.497 0.381 0.239


y) # CsTcSnHgAs, optimized geometry, DFT PBE
# Spin magnetization ... 0.000 μB/f.u.
data_CsTcSnHgAs
_cell_length_a 4.332
_cell_length_b 4.332
_cell_length_c 10.292
_cell_angle_alpha 103.46
_cell_angle_beta 103.46
_cell_angle_gamma 48.97
_symmetry_space_group_name_H-M 'P 1'
_symmetry_Int_Tables_number 1
loop_
_symmetry_equiv_pos_as_xyz
'x,y,z'
loop_
_atom_site_label
_atom_site_type_symbol
_atom_site_fract_x
_atom_site_fract_y
_atom_site_fract_z
Cs1 Cs 0.000 0.000 0.000
Tc1 Tc 0.501 0.501 0.354
Sn1 Sn 0.249 0.249 0.511
Hg1 Hg 0.609 0.609 0.714
As1 As 0.784 0.784 0.279


x) ends up most stable, edging out the next structure by 3.0 kJ/mol of atoms.


w) # CsTcSnHgAs, optimized geometry, DFT PBE
# Spin magnetization ... 0.000 μB/f.u.
data_CsTcSnHgAs
_cell_length_a 4.348
_cell_length_b 10.046
_cell_length_c 10.046
_cell_angle_alpha 19.28
_cell_angle_beta 90.00
_cell_angle_gamma 90.00
_symmetry_space_group_name_H-M 'P 1'
_symmetry_Int_Tables_number 1
loop_
_symmetry_equiv_pos_as_xyz
'x,y,z'
loop_
_atom_site_label
_atom_site_type_symbol
_atom_site_fract_x
_atom_site_fract_y
_atom_site_fract_z
Cs1 Cs 0.000 0.000 0.000
Tc1 Tc 0.500 0.203 0.203
Sn1 Sn 0.000 0.729 0.729
Hg1 Hg 0.500 0.352 0.352
As1 As 0.500 0.613 0.613


x) # CsTcSnHgAs, optimized geometry, DFT PBE
# Spin magnetization ... 0.000 μB/f.u.
data_CsTcSnHgAs
_cell_length_a 4.845
_cell_length_b 5.254
_cell_length_c 5.624
_cell_angle_alpha 90.00
_cell_angle_beta 90.00
_cell_angle_gamma 90.00
_symmetry_space_group_name_H-M 'P 1'
_symmetry_Int_Tables_number 1
loop_
_symmetry_equiv_pos_as_xyz
'x,y,z'
loop_
_atom_site_label
_atom_site_type_symbol
_atom_site_fract_x
_atom_site_fract_y
_atom_site_fract_z
Cs1 Cs 0.000 0.000 0.000
Tc1 Tc 0.500 0.500 0.500
Sn1 Sn 0.500 0.000 0.500
Hg1 Hg 0.500 0.500 0.000
As1 As 0.000 0.500 0.500


y) # CsTcSnHgAs, optimized geometry, DFT PBE
# Spin magnetization ... 0.000 μB/f.u.
data_CsTcSnHgAs
_cell_length_a 5.075
_cell_length_b 5.075
_cell_length_c 9.349
_cell_angle_alpha 93.34
_cell_angle_beta 93.34
_cell_angle_gamma 44.44
_symmetry_space_group_name_H-M 'P 1'
_symmetry_Int_Tables_number 1
loop_
_symmetry_equiv_pos_as_xyz
'x,y,z'
loop_
_atom_site_label
_atom_site_type_symbol
_atom_site_fract_x
_atom_site_fract_y
_atom_site_fract_z
Cs1 Cs 0.000 0.000 0.000
Tc1 Tc 0.745 0.745 0.596
Sn1 Sn 0.027 0.027 0.553
Hg1 Hg 0.732 0.732 0.295
As1 As 0.279 0.279 0.743


z) # CsTcSnHgAs, optimized geometry, DFT PBE
# Spin magnetization ... 0.000 μB/f.u.
data_CsTcSnHgAs
_cell_length_a 4.770
_cell_length_b 6.895
_cell_length_c 6.895
_cell_angle_alpha 43.40
_cell_angle_beta 90.00
_cell_angle_gamma 90.00
_symmetry_space_group_name_H-M 'P 1'
_symmetry_Int_Tables_number 1
loop_
_symmetry_equiv_pos_as_xyz
'x,y,z'
loop_
_atom_site_label
_atom_site_type_symbol
_atom_site_fract_x
_atom_site_fract_y
_atom_site_fract_z
Cs1 Cs 0.000 0.000 0.000
Tc1 Tc 0.500 0.284 0.284
Sn1 Sn 0.500 0.720 0.720
Hg1 Hg 0.500 0.493 0.493
As1 As 0.000 0.282 0.282


x) ends up most stable, edging out the next structure by 1.6 kJ/mol of atoms.


w) # CsAsI3, optimized geometry, DFT PBE
# Spin magnetization ... 0.676 μB/f.u.
data_CsAsI3
_cell_length_a 6.184
_cell_length_b 6.184
_cell_length_c 12.061
_cell_angle_alpha 90.00
_cell_angle_beta 90.00
_cell_angle_gamma 120.00
_symmetry_space_group_name_H-M 'P 1'
_symmetry_Int_Tables_number 1
loop_
_symmetry_equiv_pos_as_xyz
'x,y,z'
loop_
_atom_site_label
_atom_site_type_symbol
_atom_site_fract_x
_atom_site_fract_y
_atom_site_fract_z
Cs1 Cs 0.333 0.667 0.250
Cs2 Cs 0.667 0.333 0.750
As1 As 0.000 0.000 0.000
As2 As 0.000 0.000 0.500
I1 I 0.000 0.000 0.250
I2 I 0.000 0.000 0.750
I3 I 0.333 0.667 0.551
I4 I 0.333 0.667 0.949
I5 I 0.667 0.333 0.051
I6 I 0.667 0.333 0.449


x) # CsAsI3, optimized geometry, DFT PBE
# Spin magnetization ... 0.000 μB/f.u.
data_CsAsI3
_cell_length_a 9.644
_cell_length_b 9.644
_cell_length_c 9.644
_cell_angle_alpha 53.08
_cell_angle_beta 53.08
_cell_angle_gamma 53.08
_symmetry_space_group_name_H-M 'P 1'
_symmetry_Int_Tables_number 1
loop_
_symmetry_equiv_pos_as_xyz
'x,y,z'
loop_
_atom_site_label
_atom_site_type_symbol
_atom_site_fract_x
_atom_site_fract_y
_atom_site_fract_z
Cs1 Cs 0.125 0.125 0.125
Cs2 Cs 0.875 0.875 0.875
As1 As 0.389 0.389 0.389
As2 As 0.611 0.611 0.611
I1 I 0.061 0.517 0.657
I2 I 0.343 0.939 0.483
I3 I 0.483 0.343 0.939
I4 I 0.517 0.657 0.061
I5 I 0.657 0.061 0.517
I6 I 0.939 0.483 0.343


x) ends up most stable, edging out the next structure by 25.1 kJ/mol of atoms.